[1]
Entry from Alexandria: crystalline Cs2Ce2AgSe6 at its relaxed geometry (PBE).

Cell lengths 7.3509, 7.3509, 8.8896 Å; angles 97.12, 97.12, 121.50 degrees
Fractional positions:
Se: 0.0608 0.4112 0.6877
Se: 0.4112 0.0608 0.6877
Se: 0.7408 0.7408 0.6687
Se: 0.5888 0.9392 0.3123
Se: 0.2592 0.2592 0.3313
Se: 0.9392 0.5888 0.3123
Ce: 0.6672 0.3328 0.5000
Ce: 0.3328 0.6672 0.5000
Ag: 0.0000 0.0000 0.5000
Cs: 0.8416 0.1584 0.0000
Cs: 0.1584 0.8416 0.0000

Summary:
space-group type: No. 12
uncorrected formation energy: -1219 meV per atom
DFT total energy: -4.61 eV per atom
size of the total moment: 0.00 μB/f.u.

---

[2]
Entry from Alexandria: crystalline Cs2CeAg2Se4 at its relaxed geometry (PBE).

Cell lengths 4.3886, 8.5147, 8.2071 Å; angles 107.75, 105.51, 90.00 degrees
Fractional positions:
Ag: 0.6791 0.9834 0.3582
Ag: 0.3209 0.0166 0.6418
Ce: 0.0000 0.0000 0.0000
Se: 0.4881 0.2215 0.9761
Se: 0.8104 0.8247 0.6208
Se: 0.1896 0.1753 0.3792
Se: 0.5119 0.7785 0.0239
Cs: 0.1367 0.5710 0.2734
Cs: 0.8633 0.4290 0.7266

Summary:
space-group type: No. 12
uncorrected formation energy: -1095 meV per atom
DFT total energy: -4.13 eV per atom
size of the total moment: 0.13 μB/f.u.

---

[3]
Entry from Alexandria: crystalline CsCe2Ag2Se6 at its relaxed geometry (PBE).

Cell lengths 7.7477, 9.0123, 8.4624 Å; angles 126.69, 90.01, 64.54 degrees
Fractional positions:
Ag: 0.1300 0.7414 0.7965
Ag: 0.8700 0.2586 0.2035
Se: 0.0664 0.8696 0.5949
Se: 0.9150 0.6481 0.9138
Se: 0.9336 0.1304 0.4051
Se: 0.5632 0.3493 0.0836
Se: 0.0850 0.3519 0.0862
Se: 0.4368 0.6507 0.9164
Ce: 0.1684 0.6633 0.1601
Ce: 0.8316 0.3367 0.8398
Cs: 0.5000 0.0000 0.5000

Summary:
space-group type: No. 2
uncorrected formation energy: -963 meV per atom
DFT total energy: -4.54 eV per atom
size of the total moment: 0.00 μB/f.u.